Na2TlIn8 | PBE | relaxed

Values from the calculation:
Uncorrected energy: -2.457 eV/atom
D(E_F): 4.576 states/eV per cell
SG: C2/m

Cell and atoms, written as POSCAR:
```
Na2TlIn8
1.0
4.132 -8.546 0.000
4.132 8.546 0.000
-3.049 0.000 4.419
Na Tl In
2 1 8
Cartesian
4.132 5.531 0.000
4.132 -5.531 0.000
2.608 0.000 2.209
-1.721 0.000 3.719
-0.069 2.481 3.356
2.608 3.468 2.209
-0.069 -2.481 3.356
5.285 2.481 1.062
2.608 -3.468 2.209
5.285 -2.481 1.062
6.938 0.000 0.699
```